Entry 1:
The following is a DFT calculation (PBE) of a relaxed structure of ErTaN2O.

Results
The value obtained for the total energy is -93.3 eV/cell.

Unit cell a=5.641 b=3.889 c=5.856 alpha=90.00 beta=90.00 gamma=90.00
Fractional positions:
1 Er 0.250 0.000 0.189
2 Er 0.750 0.000 0.811
3 Ta 0.250 0.500 0.725
4 Ta 0.750 0.500 0.275
5 N 0.000 0.500 0.500
6 N 0.250 0.000 0.812
7 N 0.500 0.500 0.500
8 N 0.750 0.000 0.188
9 O 0.000 0.500 0.000
10 O 0.500 0.500 0.000

=====

Entry 2:
The following is a DFT calculation (PBE) of a relaxed structure of NaCoPS4.

Results
The value obtained for the total energy is -67.2 eV/cell.

Unit cell a=7.906 b=7.906 c=7.906 alpha=124.91 beta=124.91 gamma=81.68
Fractional positions:
1 Na 0.250 0.250 0.000
2 Na 0.750 0.750 0.000
3 Co 0.000 0.500 0.500
4 Co 0.500 0.000 0.500
5 P 0.250 0.750 0.500
6 P 0.750 0.250 0.500
7 S 0.014 0.514 0.796
8 S 0.218 0.014 0.500
9 S 0.282 0.782 0.796
10 S 0.486 0.282 0.500
11 S 0.514 0.718 0.500
12 S 0.718 0.218 0.204
13 S 0.782 0.986 0.500
14 S 0.986 0.486 0.204